1.
A plane-wave DFT calculation with PBE-GGA was carried out for a geometry-optimized Cs3Ac2PmTe6 structure.

Its total magnetization is 0.000 μB/f.u. Its density of states at the Fermi level is 0.00 states/eV per cell. For the total energy, the calculation gives -52.02 eV/f.u.

The structure belongs to space group C2/m (No. 12); the cell edges are 8.354, 14.470 and 9.399 Å and the angles 90.00°, 107.26° and 90.00°. The inequivalent atoms are Cs at (0.000, 0.000, 0.000), Cs at (0.000, 0.331, 0.000), Ac at (0.000, 0.166, 0.500), Pm at (0.000, 0.500, 0.500), Te at (0.227, 0.339, 0.699) and Te at (0.246, 0.000, 0.700).

=====

2.
A plane-wave DFT calculation with PBE-GGA was carried out for a geometry-optimized La3Pm2In structure.

As for the energy of formation: -0.136 eV per atom. Its total magnetization is 0.000 μB/f.u. Its density of states at the Fermi level is 16.05 states/eV per cell. For the total energy, the calculation gives -27.84 eV/f.u.

The structure belongs to space group Pmc2_1 (No. 26); the cell edges are 5.766, 10.729 and 6.552 Å and the angles 90.00°, 90.00° and 90.00°. The inequivalent atoms are La at (0.000, 0.051, 0.000), La at (0.000, 0.264, 0.387), La at (0.500, 0.425, 0.232), Pm at (0.000, 0.403, 0.910), Pm at (0.500, 0.212, 0.758) and In at (0.500, 0.099, 0.279).

=====

3.
A plane-wave DFT calculation with PBE-GGA was carried out for a geometry-optimized ScAl2Co2 structure.

As for the energy of formation: -0.453 eV per atom. Its total magnetization is 0.174 μB/f.u. Its density of states at the Fermi level is 6.91 states/eV per cell. For the total energy, the calculation gives -30.29 eV/f.u.

The structure belongs to space group P4/mbm (No. 127); the cell edges are 7.067, 7.067 and 2.783 Å and the angles 90.00°, 90.00° and 90.00°. The inequivalent atoms are Sc at (0.000, 0.000, 0.000), Al at (0.143, 0.357, 0.500) and Co at (0.151, 0.651, 0.000).

=====

4.
A plane-wave DFT calculation with PBE-GGA was carried out for a geometry-optimized SrLaTa3 structure.

As for the energy of formation: 1.856 eV per atom. Its total magnetization is 0.000 μB/f.u. Its density of states at the Fermi level is 7.73 states/eV per cell. For the total energy, the calculation gives -32.89 eV/f.u.

The structure belongs to space group Pm-3m (No. 221); the cell edges are 5.115, 5.115 and 5.115 Å and the angles 90.00°, 90.00° and 90.00°. The inequivalent atoms are Sr at (0.000, 0.000, 0.000), La at (0.500, 0.500, 0.500) and Ta at (0.000, 0.500, 0.500).

=====

5.
A plane-wave DFT calculation with PBE-GGA was carried out for a geometry-optimized Rb2NaTc2O6 structure.

Its total magnetization is 1.027 μB/f.u. Its density of states at the Fermi level is 22.98 states/eV per cell. For the total energy, the calculation gives -68.91 eV/f.u.

The structure belongs to space group R-3m (No. 166, hexagonal axes); the cell edges are 6.3475, 6.3475 and 19.1538 Å and the angles 90.00°, 90.00° and 120.00°. The inequivalent atoms are Rb at (0.0000, 0.0000, 0.2068), Na at (0.0000, 0.0000, 0.0000), Tc at (0.0000, 0.0000, 0.4054) and O at (0.0137, 0.5068, 0.2525).

=====

6.
A plane-wave DFT calculation with PBE-GGA was carried out for a geometry-optimized Ba2BiBS5 structure.

Its total magnetization is 0.000 μB/f.u. For the total energy, the calculation gives -44.70 eV/f.u.

The structure belongs to space group Cmc2_1 (No. 36); the cell edges are 4.005, 18.143 and 13.232 Å and the angles 90.00°, 90.00° and 90.00°. The inequivalent atoms are Ba at (0.000, 0.120, 0.000), Ba at (0.000, 0.123, 0.342), Bi at (0.000, 0.188, 0.697), B at (0.000, 0.441, 0.056), S at (0.000, 0.030, 0.642), S at (0.000, 0.302, 0.342), S at (0.000, 0.335, 0.671), S at (0.000, 0.338, 0.042) and S at (0.000, 0.495, 0.938).